Density functional theory data (PBE-GGA) for a relaxed IrRuCl2 crystal.

Lattice parameters (Å, degrees): 3.712 3.712 8.678 80.88 80.88 46.54
Fractional positions:
Ru 0.288 0.288 0.294
Ir 0.534 0.534 0.465
Cl 0.925 0.925 0.084
Cl 0.753 0.753 0.657

Results
- D(E_F): 3.54 states/eV/f.u.
- Energy relative to the lowest polymorph listed for this composition: 0.1058 eV per atom
- Symmetry: Cm (8)
- Magnetization: 0.00 μB per formula unit

Density functional theory data (PBE-GGA) for a relaxed Cs2AgAuCl6 crystal.

Lattice parameters (Å, degrees): 7.780 7.780 7.780 122.87 122.87 85.10
Fractional positions:
Cs 0.750 0.250 0.500
Cs 0.250 0.750 0.500
Ag 0.500 0.500 0.000
Au 0.000 0.000 0.000
Cl 0.291 0.291 0.000
Cl 0.776 0.224 0.000
Cl 0.224 0.776 0.000
Cl 0.776 0.776 0.551
Cl 0.709 0.709 0.000
Cl 0.224 0.224 0.449

Results
- Symmetry: I4/mmm (139)
- Magnetization: 0.00 μB per formula unit
- Final energy: -2.979 eV per atom

Density functional theory data (PBE-GGA) for a relaxed In2CS crystal.

Lattice parameters (Å, degrees): 5.608 5.608 6.716 65.32 65.32 90.00
Fractional positions:
S 0.000 0.000 0.000
S 0.750 0.250 0.500
C 0.500 0.500 0.000
C 0.250 0.750 0.500
In 0.555 0.125 0.250
In 0.195 0.625 0.250
In 0.375 0.445 0.750
In 0.875 0.805 0.750

Results
- D(E_F): 0.00 states/eV/f.u.
- Symmetry: I-42d (122)
- Magnetization: 0.00 μB per formula unit
- Final energy: -4.527 eV per atom

Density functional theory data (PBE-GGA) for a relaxed SrAlTl2 crystal.

Lattice parameters (Å, degrees): 5.495 5.495 5.495 60.00 60.00 60.00
Fractional positions:
Sr 0.750 0.750 0.750
Tl 0.000 0.000 0.000
Tl 0.250 0.250 0.250
Al 0.500 0.500 0.500

Results
- D(E_F): 3.40 states/eV/f.u.
- Symmetry: F-43m (216)
- Magnetization: 0.00 μB per formula unit
- Final energy: -2.571 eV per atom

Density functional theory data (PBE-GGA) for a relaxed AcHo4S5 crystal.

Lattice parameters (Å, degrees): 3.933 5.662 10.570 105.54 100.72 90.00
Fractional positions:
Ac 0.000 0.000 0.000
Ho 0.399 0.399 0.799
Ho 0.795 0.795 0.590
Ho 0.205 0.205 0.410
Ho 0.601 0.601 0.201
S 0.612 0.112 0.223
S 0.802 0.302 0.604
S 0.198 0.698 0.396
S 0.000 0.500 0.000
S 0.388 0.888 0.777

Results
- D(E_F): 4.89 states/eV/f.u.
- Symmetry: Immm (71)
- Magnetization: 0.00 μB per formula unit
- Final energy: -6.232 eV per atom

Density functional theory data (PBE-GGA) for a relaxed U3MnHg3Se8 crystal.

Lattice parameters (Å, degrees): 7.980 7.977 10.599 112.16 90.02 119.99
Last column: magnetic moment on the atom in μB.
Fractional positions:
U 0.500 0.000 0.500  1.72
U 0.500 0.500 0.500  1.72
U 0.000 0.500 0.500  1.72
Mn 0.000 0.000 0.500  4.02
Hg 0.000 0.000 0.000  0.00
Hg 0.000 0.500 0.000  0.00
Hg 0.500 0.500 0.000  0.00
Se 0.277 0.554 0.332  -0.07
Se 0.723 0.446 0.668  -0.07
Se 0.785 0.569 0.342  -0.07
Se 0.215 0.431 0.658  -0.07
Se 0.785 0.056 0.342  -0.07
Se 0.215 0.944 0.658  -0.07
Se 0.272 0.056 0.342  -0.07
Se 0.728 0.944 0.658  -0.07

Results
- D(E_F): 17.83 states/eV/f.u.
- Symmetry: C2/m (12)
- Magnetization: 9.00 μB per formula unit
- Final energy: -5.518 eV per atom

Density functional theory data (PBE-GGA) for a relaxed Sc2CoAu crystal.

Lattice parameters (Å, degrees): 5.284 5.284 5.284 136.23 136.23 63.63
Fractional positions:
Au 0.500 0.500 0.000
Co 0.750 0.250 0.500
Sc 0.000 0.000 0.000
Sc 0.250 0.750 0.500

Results
- D(E_F): 4.23 states/eV/f.u.
- Symmetry: I-4m2 (119)
- Magnetization: 0.00 μB per formula unit
- Final energy: -6.119 eV per atom

Density functional theory data (PBE-GGA) for a relaxed Sm3Zn3Au2 crystal.

Lattice parameters (Å, degrees): 4.572 5.737 15.095 90.00 90.00 113.48
Fractional positions:
Sm 0.903 0.806 0.397
Sm 0.097 0.194 0.897
Sm 0.903 0.806 0.103
Sm 0.097 0.194 0.603
Sm 0.634 0.267 0.250
Sm 0.366 0.733 0.750
Zn 0.607 0.215 0.459
Zn 0.393 0.785 0.959
Zn 0.607 0.215 0.041
Zn 0.393 0.785 0.541
Zn 0.348 0.696 0.250
Zn 0.652 0.304 0.750
Au 0.802 0.604 0.895
Au 0.198 0.396 0.395
Au 0.802 0.604 0.605
Au 0.198 0.396 0.105

Results
- D(E_F): 7.18 states/eV/f.u.
- Symmetry: Cmcm (63)
- Magnetization: 0.00 μB per formula unit
- Final energy: -3.620 eV per atom

Density functional theory data (PBE-GGA) for a relaxed CeAl2Ag2 crystal.

Lattice parameters (Å, degrees): 4.400 4.400 10.778 90.00 90.00 90.00
Last column: magnetic moment on the atom in μB.
Fractional positions:
Ce 0.500 0.000 0.250  0.76
Ce 0.000 0.500 0.750  0.76
Al 0.500 0.500 0.500  0.00
Al 0.000 0.000 0.500  0.00
Al 0.000 0.500 0.135  0.00
Al 0.500 0.000 0.865  0.00
Ag 0.000 0.500 0.369  0.00
Ag 0.500 0.000 0.631  0.00
Ag 0.500 0.500 0.000  0.00
Ag 0.000 0.000 0.000  0.00

Results
- D(E_F): 7.95 states/eV/f.u.
- Energy relative to the lowest polymorph listed for this composition: 0.0000 eV per atom
- Symmetry: P4/nmm (129)
- Magnetization: 0.89 μB per formula unit

Density functional theory data (PBE-GGA) for a relaxed Zr2ScNi crystal.

Lattice parameters (Å, degrees): 9.446 9.446 9.446 19.53 19.53 19.53
Fractional positions:
Ni 0.250 0.250 0.250
Sc 0.750 0.750 0.750
Zr 0.987 0.987 0.987
Zr 0.513 0.513 0.513

Results
- D(E_F): 5.27 states/eV/f.u.
- Energy relative to the lowest polymorph listed for this composition: 0.2459 eV per atom
- Symmetry: R-3m (166)
- Magnetization: 0.00 μB per formula unit

Density functional theory data (PBE-GGA) for a relaxed Pr3BiTe2 crystal.

Lattice parameters (Å, degrees): 7.939 7.898 7.898 119.87 99.57 99.57
Fractional positions:
Pr 0.999 0.166 0.333
Pr 0.499 0.333 0.166
Pr 0.000 0.500 0.000
Pr 0.001 0.834 0.667
Pr 0.500 0.000 0.500
Pr 0.501 0.667 0.834
Bi 0.250 0.583 0.417
Bi 0.750 0.417 0.583
Te 0.250 0.917 0.083
Te 0.250 0.251 0.749
Te 0.750 0.083 0.917
Te 0.750 0.749 0.251

Results
- D(E_F): 3.34 states/eV/f.u.
- Energy relative to the lowest polymorph listed for this composition: 0.0061 eV per atom
- Symmetry: C2/c (15)
- Magnetization: 0.00 μB per formula unit

Density functional theory data (PBE-GGA) for a relaxed ZnMoBr crystal.

Lattice parameters (Å, degrees): 3.352 5.927 6.607 87.67 89.14 79.59
Fractional positions:
Mo 0.697 0.645 0.034
Mo 0.303 0.355 0.966
Zn 0.751 0.503 0.647
Zn 0.249 0.497 0.353
Br 0.669 0.973 0.753
Br 0.331 0.027 0.247

Results
- D(E_F): 0.53 states/eV/f.u.
- Energy relative to the lowest polymorph listed for this composition: 0.0000 eV per atom
- Symmetry: P-1 (2)
- Magnetization: 0.00 μB per formula unit

Density functional theory data (PBE-GGA) for a relaxed LaHfGa2 crystal.

Lattice parameters (Å, degrees): 4.813 4.813 10.028 76.12 76.12 90.00
Fractional positions:
Hf 0.000 0.000 0.000
Hf 0.750 0.250 0.500
Ga 0.747 0.125 0.250
Ga 0.003 0.625 0.250
Ga 0.375 0.253 0.750
Ga 0.875 0.997 0.750
La 0.500 0.500 0.000
La 0.250 0.750 0.500

Results
- D(E_F): 3.63 states/eV/f.u.
- Energy relative to the lowest polymorph listed for this composition: 0.5242 eV per atom
- Symmetry: I-42d (122)
- Magnetization: 0.00 μB per formula unit

Density functional theory data (PBE-GGA) for a relaxed TaTiCd2 crystal.

Lattice parameters (Å, degrees): 4.753 4.753 4.753 60.00 60.00 60.00
Fractional positions:
Cd 0.250 0.250 0.250
Cd 0.750 0.750 0.750
Ti 0.000 0.000 0.000
Ta 0.500 0.500 0.500

Results
- D(E_F): 5.75 states/eV/f.u.
- Energy relative to the lowest polymorph listed for this composition: 0.0000 eV per atom
- Symmetry: Fm-3m (225)
- Magnetization: 0.00 μB per formula unit

Density functional theory data (PBE-GGA) for a relaxed DyYPdAu crystal.

Lattice parameters (Å, degrees): 5.034 5.034 5.034 60.00 60.00 60.00
Fractional positions:
Y 0.500 0.500 0.500
Au 0.250 0.250 0.250
Pd 0.750 0.750 0.750
Dy 0.000 0.000 0.000

Results
- D(E_F): 3.06 states/eV/f.u.
- Energy relative to the lowest polymorph listed for this composition: 0.0450 eV per atom
- Symmetry: F-43m (216)
- Magnetization: 0.00 μB per formula unit

Density functional theory data (PBE-GGA) for a relaxed LiLaV3 crystal.

Lattice parameters (Å, degrees): 4.587 4.587 4.587 90.00 90.00 90.00
Fractional positions:
Li 0.500 0.500 0.500
La 0.000 0.000 0.000
V 0.000 0.500 0.000
V 0.000 0.000 0.500
V 0.500 0.000 0.000

Results
- D(E_F): 3.57 states/eV/f.u.
- Energy relative to the lowest polymorph listed for this composition: 0.4742 eV per atom
- Symmetry: Pm-3m (221)
- Magnetization: 0.00 μB per formula unit

Density functional theory data (PBE-GGA) for a relaxed CePrCdGe crystal.

Lattice parameters (Å, degrees): 5.312 5.312 5.312 60.00 60.00 60.00
Last column: magnetic moment on the atom in μB.
Fractional positions:
Pr 0.500 0.500 0.500  0.05
Ge 0.250 0.250 0.250  -0.01
Ce 0.000 0.000 0.000  0.81
Cd 0.750 0.750 0.750  0.01

Results
- D(E_F): 8.86 states/eV/f.u.
- Symmetry: F-43m (216)
- Magnetization: 1.03 μB per formula unit
- Final energy: -4.470 eV per atom

Density functional theory data (PBE-GGA) for a relaxed SiCl5 crystal.

Lattice parameters (Å, degrees): 7.027 7.027 10.867 53.18 53.18 29.17
Last column: magnetic moment on the atom in μB.
Fractional positions:
Si 0.711 0.711 0.898  0.28
Cl 0.060 0.060 0.057  0.16
Cl 0.694 0.694 0.722  0.03
Cl 0.202 0.202 0.406  0.00
Cl 0.362 0.362 0.800  0.16
Cl 0.137 0.137 0.283  0.00

Results
- D(E_F): 1.07 states/eV/f.u.
- Energy relative to the lowest polymorph listed for this composition: 0.0000 eV per atom
- Symmetry: Cm (8)
- Magnetization: 0.96 μB per formula unit

Density functional theory data (PBE-GGA) for a relaxed MnC3 crystal.

Lattice parameters (Å, degrees): 4.019 4.119 4.266 90.00 90.00 90.00
Last column: magnetic moment on the atom in μB.
Fractional positions:
Mn 0.000 0.000 0.753  1.05
Mn 0.500 0.500 0.247  1.05
C 0.500 0.000 0.626  0.00
C 0.000 0.500 0.374  0.00
C 0.000 0.673 0.065  -0.02
C 0.000 0.327 0.065  -0.02
C 0.500 0.173 0.935  -0.02
C 0.500 0.827 0.935  -0.02

Results
- D(E_F): 1.75 states/eV/f.u.
- Energy relative to the lowest polymorph listed for this composition: 0.7538 eV per atom
- Symmetry: Pmmn (59)
- Magnetization: 1.02 μB per formula unit

Density functional theory data (PBE-GGA) for a relaxed Y2Tm2Tc crystal.

Lattice parameters (Å, degrees): 6.687 7.127 6.913 104.87 90.00 117.97
Fractional positions:
Y 0.554 0.277 0.610
Y 0.277 0.723 0.890
Y 0.446 0.723 0.390
Y 0.723 0.277 0.110
Tm 0.794 0.772 0.014
Tm 0.023 0.228 0.486
Tm 0.206 0.228 0.986
Tm 0.977 0.772 0.514
Tc 0.749 0.000 0.750
Tc 0.251 0.000 0.250

Results
- D(E_F): 4.77 states/eV/f.u.
- Symmetry: C2/c (15)
- Magnetization: 0.00 μB per formula unit
- Final energy: -6.460 eV per atom